i | Compound: ZnPdRhBr2
Source: the Alexandria database
Functional: PBE-GGA
Structure: optimized geometry

Cell: 4.952 4.865 4.952 Å, 90.00 90.00 90.00°
Last column: magnetic moment on the atom in μB.
Fractional coordinates of all 5 atoms:
1 Zn 0.000 0.000 0.000  -0.03
2 Rh 0.000 0.500 0.000  0.92
3 Br 0.000 0.000 0.500  0.01
4 Br 0.500 0.000 0.000  0.00
5 Pd 0.500 0.500 0.500  0.09

Properties
SG: P4/mmm



ii | Compound: ZnPdRhBr2
Source: the Alexandria database
Functional: PBE-GGA
Structure: optimized geometry

Cell: 4.999 4.831 4.999 Å, 90.00 90.00 90.00°
Fractional coordinates of all 5 atoms:
1 Zn 0.000 0.500 0.000
2 Rh 0.000 0.000 0.000
3 Br 0.000 0.000 0.500
4 Br 0.500 0.000 0.000
5 Pd 0.500 0.500 0.500

Properties
SG: P4/mmm



Most stable: ii. Least stable: i.



i | Compound: Pd2RuBr
Source: the Alexandria database
Functional: PBE-GGA
Structure: optimized geometry

Cell: 7.308 7.308 5.826 Å, 51.16 51.16 90.00°
Last column: magnetic moment on the atom in μB.
Fractional coordinates of all 8 atoms:
1 Ru 0.000 0.000 0.000  1.95
2 Ru 0.750 0.250 0.500  1.96
3 Br 0.500 0.500 0.000  0.07
4 Br 0.250 0.750 0.500  0.07
5 Pd 0.629 0.125 0.250  0.38
6 Pd 0.121 0.625 0.250  0.38
7 Pd 0.375 0.371 0.750  0.37
8 Pd 0.875 0.879 0.750  0.37

Properties
SG: I-42d



ii | Compound: Pd2RuBr
Source: the Alexandria database
Functional: PBE-GGA
Structure: optimized geometry

Cell: 4.593 4.593 4.593 Å, 60.00 60.00 60.00°
Last column: magnetic moment on the atom in μB.
Fractional coordinates of all 4 atoms:
1 Ru 0.500 0.500 0.500  2.11
2 Br 0.000 0.000 0.000  0.07
3 Pd 0.250 0.250 0.250  0.28
4 Pd 0.750 0.750 0.750  0.28

Properties
SG: Fm-3m



Most stable: i. Least stable: ii.



i | Compound: PdRuBr2
Source: the Alexandria database
Functional: PBE-GGA
Structure: optimized geometry

Cell: 7.947 7.947 7.947 Å, 26.96 26.96 26.96°
Fractional coordinates of all 4 atoms:
1 Ru 0.500 0.500 0.500
2 Br 0.893 0.893 0.893
3 Br 0.107 0.107 0.107
4 Pd 0.000 0.000 0.000

Properties
SG: R-3m



ii | Compound: PdRuBr2
Source: the Alexandria database
Functional: PBE-GGA
Structure: optimized geometry

Cell: 6.284 6.284 6.545 Å, 61.31 61.31 90.00°
Fractional coordinates of all 8 atoms:
1 Ru 0.500 0.500 0.000
2 Ru 0.250 0.750 0.500
3 Br 0.604 0.125 0.250
4 Br 0.146 0.625 0.250
5 Br 0.375 0.396 0.750
6 Br 0.875 0.854 0.750
7 Pd 0.000 0.000 0.000
8 Pd 0.750 0.250 0.500

Properties
SG: I-42d



iii | Compound: PdRuBr2
Source: the Alexandria database
Functional: PBE-GGA
Structure: optimized geometry

Cell: 8.893 8.893 8.893 Å, 21.33 21.33 21.33°
Fractional coordinates of all 4 atoms:
1 Ru 0.000 0.000 0.000
2 Br 0.909 0.909 0.909
3 Br 0.091 0.091 0.091
4 Pd 0.500 0.500 0.500

Properties
SG: R-3m



iv | Compound: PdRuBr2
Source: the Alexandria database
Functional: PBE-GGA
Structure: optimized geometry

Cell: 4.650 4.650 4.650 Å, 60.00 60.00 60.00°
Fractional coordinates of all 4 atoms:
1 Ru 0.000 0.000 0.000
2 Br 0.250 0.250 0.250
3 Br 0.750 0.750 0.750
4 Pd 0.500 0.500 0.500

Properties
SG: Fm-3m



Most stable: i. Least stable: iv.



i | Compound: PdRu2Br
Source: the Alexandria database
Functional: PBE-GGA
Structure: optimized geometry

Cell: 4.461 4.461 4.461 Å, 60.00 60.00 60.00°
Last column: magnetic moment on the atom in μB.
Fractional coordinates of all 4 atoms:
1 Ru 0.250 0.250 0.250  1.08
2 Ru 0.750 0.750 0.750  1.08
3 Br 0.000 0.000 0.000  0.05
4 Pd 0.500 0.500 0.500  0.22

Properties
SG: Fm-3m



ii | Compound: PdRu2Br
Source: the Alexandria database
Functional: PBE-GGA
Structure: optimized geometry

Cell: 5.202 5.202 7.322 Å, 69.20 69.20 90.00°
Fractional coordinates of all 8 atoms:
1 Ru 0.603 0.125 0.250
2 Ru 0.147 0.625 0.250
3 Ru 0.375 0.397 0.750
4 Ru 0.875 0.853 0.750
5 Br 0.500 0.500 0.000
6 Br 0.250 0.750 0.500
7 Pd 0.000 0.000 0.000
8 Pd 0.750 0.250 0.500

Properties
SG: I-42d



Most stable: i. Least stable: ii.



i | Compound: PdSe2SBr
Source: the Alexandria database
Functional: PBE-GGA
Structure: optimized geometry

Cell: 4.949 4.949 4.983 Å, 90.00 90.00 90.00°
Fractional coordinates of all 5 atoms:
1 S 0.500 0.500 0.500
2 Se 0.000 0.500 0.000
3 Se 0.500 0.000 0.000
4 Br 0.000 0.000 0.500
5 Pd 0.000 0.000 0.000

Properties
SG: P4/mmm



ii | Compound: PdSe2SBr
Source: the Alexandria database
Functional: PBE-GGA
Structure: optimized geometry

Cell: 4.912 4.912 4.878 Å, 90.00 90.00 90.00°
Last column: magnetic moment on the atom in μB.
Fractional coordinates of all 5 atoms:
1 S 0.000 0.000 0.000  -0.01
2 Se 0.000 0.500 0.000  0.13
3 Se 0.500 0.000 0.000  0.13
4 Br 0.000 0.000 0.500  0.06
5 Pd 0.500 0.500 0.500  0.40

Properties
SG: P4/mmm



Most stable: i. Least stable: ii.



i | Compound: SbPdBr2
Source: the Alexandria database
Functional: PBE-GGA
Structure: optimized geometry

Cell: 4.833 4.833 9.675 Å, 75.54 75.54 90.00°
Fractional coordinates of all 8 atoms:
1 Sb 0.000 0.000 0.000
2 Sb 0.750 0.250 0.500
3 Br 0.607 0.125 0.250
4 Br 0.143 0.625 0.250
5 Br 0.375 0.393 0.750
6 Br 0.875 0.857 0.750
7 Pd 0.500 0.500 0.000
8 Pd 0.250 0.750 0.500

Properties
SG: I-42d



ii | Compound: SbPdBr2
Source: the Alexandria database
Functional: PBE-GGA
Structure: optimized geometry

Cell: 9.226 9.226 9.226 Å, 23.35 23.35 23.35°
Last column: magnetic moment on the atom in μB.
Fractional coordinates of all 4 atoms:
1 Sb 0.000 0.000 0.000  -0.02
2 Br 0.895 0.895 0.895  0.10
3 Br 0.105 0.105 0.105  0.10
4 Pd 0.500 0.500 0.500  0.46

Properties
SG: R-3m



iii | Compound: SbPdBr2
Source: the Alexandria database
Functional: PBE-GGA
Structure: optimized geometry

Cell: 5.067 5.067 5.067 Å, 60.00 60.00 60.00°
Fractional coordinates of all 4 atoms:
1 Sb 0.500 0.500 0.500
2 Br 0.250 0.250 0.250
3 Br 0.750 0.750 0.750
4 Pd 0.000 0.000 0.000

Properties
SG: Fm-3m



Most stable: ii. Least stable: iii.



i | Compound: ScPdBr2
Source: the Alexandria database
Functional: PBE-GGA
Structure: optimized geometry

Cell: 4.866 4.866 4.866 Å, 60.00 60.00 60.00°
Last column: magnetic moment on the atom in μB.
Fractional coordinates of all 4 atoms:
1 Sc 0.000 0.000 0.000  0.59
2 Br 0.250 0.250 0.250  0.01
3 Br 0.750 0.750 0.750  0.01
4 Pd 0.500 0.500 0.500  0.05

Properties
SG: Fm-3m



ii | Compound: ScPdBr2
Source: the Alexandria database
Functional: PBE-GGA
Structure: optimized geometry

Cell: 8.847 8.847 8.847 Å, 23.20 23.20 23.20°
Fractional coordinates of all 4 atoms:
1 Sc 0.500 0.500 0.500
2 Br 0.902 0.902 0.902
3 Br 0.098 0.098 0.098
4 Pd 0.000 0.000 0.000

Properties
SG: R-3m



Most stable: ii. Least stable: i.



i | Compound: ScPd3Br
Source: the Alexandria database
Functional: PBE-GGA
Structure: optimized geometry

Cell: 4.887 4.887 4.887 Å, 90.00 90.00 90.00°
Fractional coordinates of all 5 atoms:
1 Sc 0.000 0.000 0.000
2 Br 0.500 0.500 0.500
3 Pd 0.000 0.500 0.000
4 Pd 0.000 0.000 0.500
5 Pd 0.500 0.000 0.000

Properties
SG: Pm-3m



ii | Compound: ScPd3Br
Source: the Alexandria database
Functional: PBE-GGA
Structure: optimized geometry

Cell: 4.765 4.765 4.765 Å, 90.00 90.00 90.00°
Fractional coordinates of all 5 atoms:
1 Sc 0.500 0.500 0.500
2 Br 0.000 0.000 0.000
3 Pd 0.000 0.500 0.000
4 Pd 0.000 0.000 0.500
5 Pd 0.500 0.000 0.000

Properties
SG: Pm-3m



Most stable: ii. Least stable: i.



i | Compound: ScPdSeBr2
Source: the Alexandria database
Functional: PBE-GGA
Structure: optimized geometry

Cell: 5.208 5.208 5.262 Å, 90.00 90.00 90.00°
Last column: magnetic moment on the atom in μB.
Fractional coordinates of all 5 atoms:
1 Sc 0.000 0.000 0.000  0.00
2 Se 0.000 0.000 0.500  0.20
3 Br 0.000 0.500 0.000  0.04
4 Br 0.500 0.000 0.000  0.04
5 Pd 0.500 0.500 0.500  0.58

Properties
SG: P4/mmm



ii | Compound: ScPdSeBr2
Source: the Alexandria database
Functional: PBE-GGA
Structure: optimized geometry

Cell: 4.998 4.998 5.171 Å, 90.00 90.00 90.00°
Last column: magnetic moment on the atom in μB.
Fractional coordinates of all 5 atoms:
1 Sc 0.500 0.500 0.500  0.64
2 Se 0.000 0.000 0.500  -0.04
3 Br 0.000 0.500 0.000  -0.02
4 Br 0.500 0.000 0.000  -0.02
5 Pd 0.000 0.000 0.000  -0.01

Properties
SG: P4/mmm



Most stable: i. Least stable: ii.



i | Compound: PdSe2Br
Source: the Alexandria database
Functional: PBE-GGA
Structure: optimized geometry

Cell: 7.751 3.887 3.887 Å, 121.35 111.35 68.65°
Fractional coordinates of all 4 atoms:
1 Se 0.823 0.763 0.237
2 Se 0.177 0.237 0.763
3 Br 0.500 0.500 0.500
4 Pd 0.000 0.000 0.000

Properties
SG: C2/m



ii | Compound: PdSe2Br
Source: the Alexandria database
Functional: PBE-GGA
Structure: optimized geometry

Cell: 8.878 3.769 12.804 Å, 90.00 90.00 90.00°
Fractional coordinates of all 16 atoms:
1 Se 0.644 0.250 0.574
2 Se 0.856 0.750 0.074
3 Se 0.356 0.750 0.426
4 Se 0.144 0.250 0.926
5 Se 0.326 0.250 0.695
6 Se 0.174 0.750 0.195
7 Se 0.674 0.750 0.305
8 Se 0.826 0.250 0.805
9 Br 0.086 0.250 0.610
10 Br 0.414 0.750 0.110
11 Br 0.914 0.750 0.390
12 Br 0.586 0.250 0.890
13 Pd 0.530 0.250 0.385
14 Pd 0.970 0.750 0.885
15 Pd 0.470 0.750 0.615
16 Pd 0.030 0.250 0.115

Properties
SG: Pnma



iii | Compound: PdSe2Br
Source: the Alexandria database
Functional: PBE-GGA
Structure: optimized geometry

Cell: 7.105 7.105 7.105 Å, 33.69 33.69 33.69°
Fractional coordinates of all 4 atoms:
1 Se 0.186 0.186 0.186
2 Se 0.581 0.581 0.581
3 Br 0.029 0.029 0.029
4 Pd 0.455 0.455 0.455

Properties
SG: R3m



Most stable: i. Least stable: iii.



i | Compound: Pd2Se2Br
Source: the Alexandria database
Functional: PBE-GGA
Structure: optimized geometry

Cell: 3.766 5.142 12.243 Å, 89.94 90.00 90.00°
Fractional coordinates of all 10 atoms:
1 Pd 0.250 0.250 0.584
2 Pd 0.750 0.750 0.416
3 Pd 0.250 0.250 0.916
4 Pd 0.750 0.750 0.084
5 Se 0.250 0.750 0.950
6 Se 0.750 0.250 0.050
7 Se 0.250 0.750 0.550
8 Se 0.750 0.250 0.450
9 Br 0.250 0.751 0.250
10 Br 0.750 0.249 0.750

Properties
SG: P2_1/m



ii | Compound: Pd2Se2Br
Source: the Alexandria database
Functional: PBE-GGA
Structure: optimized geometry

Cell: 6.960 6.950 8.220 Å, 68.87 45.28 53.44°
Fractional coordinates of all 10 atoms:
1 Pd 0.757 0.660 0.968
2 Pd 0.807 0.275 0.531
3 Pd 0.243 0.340 0.032
4 Pd 0.193 0.725 0.469
5 Se 0.726 0.349 0.258
6 Se 0.590 0.984 0.759
7 Se 0.410 0.016 0.241
8 Se 0.274 0.651 0.742
9 Br 0.044 0.706 0.250
10 Br 0.956 0.294 0.750

Properties
SG: P-1



Most stable: i. Least stable: ii.



i | Compound: TaPdSe2Br
Source: the Alexandria database
Functional: PBE-GGA
Structure: optimized geometry

Cell: 4.928 4.928 4.881 Å, 90.00 90.00 90.00°
Last column: magnetic moment on the atom in μB.
Fractional coordinates of all 5 atoms:
1 Se 0.000 0.500 0.000  -0.17
2 Se 0.500 0.000 0.000  -0.17
3 Br 0.000 0.000 0.500  -0.05
4 Pd 0.000 0.000 0.000  -0.04
5 Ta 0.500 0.500 0.500  1.84

Properties
SG: P4/mmm



ii | Compound: TaPdSe2Br
Source: the Alexandria database
Functional: PBE-GGA
Structure: optimized geometry

Cell: 4.999 4.999 5.150 Å, 90.00 90.00 90.00°
Fractional coordinates of all 5 atoms:
1 Se 0.000 0.500 0.000
2 Se 0.500 0.000 0.000
3 Br 0.000 0.000 0.500
4 Pd 0.500 0.500 0.500
5 Ta 0.000 0.000 0.000

Properties
SG: P4/mmm



Most stable: ii. Least stable: i.